A plane-wave DFT calculation with PBE was carried out for a relaxed structure of SrGaPt3.

Lattice parameters (Å, degrees): 4.778 4.778 4.778 90.00 90.00 90.00
Fractional coordinates of all 5 atoms:
1 Sr 0.000 0.000 0.000
2 Ga 0.500 0.500 0.500
3 Pt 0.000 0.500 0.500
4 Pt 0.500 0.000 0.500
5 Pt 0.500 0.500 0.000

Properties
The calculated volume comes out at 109.1 Å³ per cell. The energy relative to the elements comes out at -0.3275 eV/atom. For the offset from the most stable computed form, the calculation gives 0.314 eV per atom. The calculation puts the total energy at -4.894 eV/atom.